[1]
DFT (PBE-GGA) results for BePt2Cl after structural relaxation.

Summary:
The spin magnetization comes out at 0.0 μB/f.u. As for the uncorrected formation energy: 0.048 eV/atom. The calculation puts the density of states at the Fermi level at 0.807 states/eV/atom.

```
data_BePt2Cl
_cell_length_a 2.8422
_cell_length_b 4.2764
_cell_length_c 9.9596
_cell_angle_alpha 90.00
_cell_angle_beta 90.00
_cell_angle_gamma 90.00
_space_group_name_H-M_alt 'I m m m'
_space_group_IT_number 71
_space_group_name_Hall '-I 2 2'
loop_
_atom_site_label
_atom_site_type_symbol
_atom_site_fract_x
_atom_site_fract_y
_atom_site_fract_z
Be1 Be 0.0000 0.0000 0.0000
Pt1 Pt 0.0000 0.5000 0.3108
Cl1 Cl 0.0000 0.0000 0.5000
```

[2]
DFT (PBE-GGA) results for BePt2Cl after structural relaxation.

Summary:
The spin magnetization comes out at 0.0 μB/f.u. As for the uncorrected formation energy: -0.011 eV/atom. The calculation puts the density of states at the Fermi level at 0.527 states/eV/atom.

```
data_BePt2Cl
_cell_length_a 5.3503
_cell_length_b 6.6758
_cell_length_c 3.6128
_cell_angle_alpha 90.00
_cell_angle_beta 90.00
_cell_angle_gamma 90.00
_space_group_name_H-M_alt 'C m m m'
_space_group_IT_number 65
_space_group_name_Hall '-C 2 2'
loop_
_atom_site_label
_atom_site_type_symbol
_atom_site_fract_x
_atom_site_fract_y
_atom_site_fract_z
Be1 Be 0.0000 0.0000 0.0000
Pt1 Pt 0.0000 0.2025 0.5000
Cl1 Cl 0.0000 0.5000 0.0000
```

[3]
DFT (PBE-GGA) results for BePtCl after structural relaxation.

Summary:
The spin magnetization comes out at 0.0 μB/f.u. As for the uncorrected formation energy: 0.278 eV/atom. The calculation puts the density of states at the Fermi level at 0.087 states/eV/atom.

```
data_BePtCl
_cell_length_a 5.8316
_cell_length_b 5.8316
_cell_length_c 5.8316
_cell_angle_alpha 90.00
_cell_angle_beta 90.00
_cell_angle_gamma 90.00
_space_group_name_H-M_alt 'F -4 3 m'
_space_group_IT_number 216
_space_group_name_Hall 'F -4 2 3'
loop_
_atom_site_label
_atom_site_type_symbol
_atom_site_fract_x
_atom_site_fract_y
_atom_site_fract_z
Be1 Be 0.0000 0.0000 0.0000
Pt1 Pt 0.2500 0.2500 0.7500
Cl1 Cl 0.0000 0.0000 0.5000
```

[4]
DFT (PBE-GGA) results for BePtCl after structural relaxation.

Summary:
The spin magnetization comes out at 0.0 μB/f.u. As for the uncorrected formation energy: -0.084 eV/atom. The calculation puts the density of states at the Fermi level at 0.280 states/eV/atom.

```
data_BePtCl
_cell_length_a 2.8735
_cell_length_b 2.8735
_cell_length_c 10.9564
_cell_angle_alpha 90.00
_cell_angle_beta 90.00
_cell_angle_gamma 90.00
_space_group_name_H-M_alt 'I 4 m m'
_space_group_IT_number 107
_space_group_name_Hall 'I 4 -2'
loop_
_atom_site_label
_atom_site_type_symbol
_atom_site_fract_x
_atom_site_fract_y
_atom_site_fract_z
Be1 Be 0.0000 0.0000 0.0000
Pt1 Pt 0.0000 0.0000 0.3794
Cl1 Cl 0.0000 0.0000 0.6408
```

[5]
DFT (PBE-GGA) results for BePt2Cl after structural relaxation.

Summary:
The spin magnetization comes out at 0.0 μB/f.u. As for the uncorrected formation energy: 0.271 eV/atom. The calculation puts the density of states at the Fermi level at 0.677 states/eV/atom.

```
data_BePt2Cl
_cell_length_a 4.1410
_cell_length_b 2.8537
_cell_length_c 5.1193
_cell_angle_alpha 90.00
_cell_angle_beta 90.30
_cell_angle_gamma 90.00
_space_group_name_H-M_alt 'P 1 2/m 1'
_space_group_IT_number 10
loop_
_space_group_symop_operation_xyz
'x,y,z'
'-x,-y,-z'
'-x,y,-z'
'x,-y,z'
loop_
_atom_site_label
_atom_site_type_symbol
_atom_site_fract_x
_atom_site_fract_y
_atom_site_fract_z
Be1 Be 0.0000 0.0000 0.0000
Pt1 Pt 0.5000 0.0000 0.5000
Pt2 Pt 0.5000 0.5000 0.0000
Cl1 Cl 0.0000 0.5000 0.5000
```

[6]
DFT (PBE-GGA) results for BePt2Cl after structural relaxation.

Summary:
The spin magnetization comes out at 0.0 μB/f.u. As for the uncorrected formation energy: -0.120 eV/atom. The calculation puts the density of states at the Fermi level at 0.898 states/eV/atom.

```
data_BePt2Cl
_cell_length_a 2.8465
_cell_length_b 5.0013
_cell_length_c 9.3901
_cell_angle_alpha 90.00
_cell_angle_beta 90.00
_cell_angle_gamma 90.00
_space_group_name_H-M_alt 'C m m 2'
_space_group_IT_number 35
loop_
_space_group_symop_operation_xyz
'x,y,z'
'-x,-y,z'
'-x,y,z'
'x,-y,z'
'x+1/2,y+1/2,z'
'-x+1/2,-y+1/2,z'
'-x+1/2,y+1/2,z'
'x+1/2,-y+1/2,z'
loop_
_atom_site_label
_atom_site_type_symbol
_atom_site_fract_x
_atom_site_fract_y
_atom_site_fract_z
Be1 Be 0.0000 0.0000 0.0000
Pt1 Pt 0.0000 0.0000 0.4550
Pt2 Pt 0.0000 0.5000 0.1957
Cl1 Cl 0.0000 0.5000 0.8496
```

[7]
DFT (PBE-GGA) results for BePt2Cl after structural relaxation.

Summary:
The spin magnetization comes out at 0.0 μB/f.u. As for the uncorrected formation energy: 0.499 eV/atom. The calculation puts the density of states at the Fermi level at 1.473 states/eV/atom.

```
data_BePt2Cl
_cell_length_a 6.2635
_cell_length_b 6.2635
_cell_length_c 6.2635
_cell_angle_alpha 90.00
_cell_angle_beta 90.00
_cell_angle_gamma 90.00
_space_group_name_H-M_alt 'F -4 3 m'
_space_group_IT_number 216
_space_group_name_Hall 'F -4 2 3'
loop_
_atom_site_label
_atom_site_type_symbol
_atom_site_fract_x
_atom_site_fract_y
_atom_site_fract_z
Be1 Be 0.0000 0.0000 0.0000
Pt1 Pt 0.0000 0.0000 0.5000
Pt2 Pt 0.2500 0.2500 0.2500
Cl1 Cl 0.2500 0.2500 0.7500
```

[8]
DFT (PBE-GGA) results for BePt4Cl after structural relaxation.

Summary:
The spin magnetization comes out at 0.0 μB/f.u. As for the uncorrected formation energy: 0.554 eV/atom. The calculation puts the density of states at the Fermi level at 1.231 states/eV/atom.

```
data_BePt4Cl
_cell_length_a 7.4873
_cell_length_b 7.4873
_cell_length_c 7.4873
_cell_angle_alpha 90.00
_cell_angle_beta 90.00
_cell_angle_gamma 90.00
_space_group_name_H-M_alt 'F -4 3 m'
_space_group_IT_number 216
_space_group_name_Hall 'F -4 2 3'
loop_
_atom_site_label
_atom_site_type_symbol
_atom_site_fract_x
_atom_site_fract_y
_atom_site_fract_z
Be1 Be 0.0000 0.0000 0.0000
Pt1 Pt 0.1254 0.1254 0.3746
Cl1 Cl 0.2500 0.2500 0.7500
```

[9]
DFT (PBE-GGA) results for BePtCl after structural relaxation.

Summary:
The spin magnetization comes out at 0.0 μB/f.u. As for the uncorrected formation energy: -0.354 eV/atom. The calculation puts the density of states at the Fermi level at 0.283 states/eV/atom.

```
data_BePtCl
_cell_length_a 2.9178
_cell_length_b 5.1563
_cell_length_c 13.7020
_cell_angle_alpha 90.00
_cell_angle_beta 90.00
_cell_angle_gamma 90.00
_space_group_name_H-M_alt 'F m m 2'
_space_group_IT_number 42
_space_group_name_Hall 'F 2 -2'
loop_
_atom_site_label
_atom_site_type_symbol
_atom_site_fract_x
_atom_site_fract_y
_atom_site_fract_z
Be1 Be 0.0000 0.0000 0.0000
Pt1 Pt 0.0000 0.0000 0.6290
Cl1 Cl 0.0000 0.0000 0.3972
```

[10]
DFT (PBE-GGA) results for Rb2BePtCl6 after structural relaxation.

Summary:
The spin magnetization comes out at 0.0 μB/f.u. As for the uncorrected formation energy: -1.092 eV/atom. The calculation puts the density of states at the Fermi level at 0.158 states/eV/atom.

```
data_Rb2BePtCl6
_cell_length_a 6.8603
_cell_length_b 6.8603
_cell_length_c 10.6715
_cell_angle_alpha 90.00
_cell_angle_beta 90.00
_cell_angle_gamma 90.00
_space_group_name_H-M_alt 'I 4/m m m'
_space_group_IT_number 139
_space_group_name_Hall '-I 4 2'
loop_
_atom_site_label
_atom_site_type_symbol
_atom_site_fract_x
_atom_site_fract_y
_atom_site_fract_z
Rb1 Rb 0.0000 0.5000 0.2500
Be1 Be 0.0000 0.0000 0.0000
Pt1 Pt 0.0000 0.0000 0.5000
Cl1 Cl 0.0000 0.0000 0.2803
Cl2 Cl 0.2246 0.2246 0.0000
```

[11]
DFT (PBE-GGA) results for BePtS2Cl after structural relaxation.

Summary:
The spin magnetization comes out at 0.0 μB/f.u. As for the uncorrected formation energy: 0.741 eV/atom. The calculation puts the density of states at the Fermi level at 1.194 states/eV/atom.

```
data_BePtS2Cl
_cell_length_a 4.7129
_cell_length_b 4.7129
_cell_length_c 4.8206
_cell_angle_alpha 90.00
_cell_angle_beta 90.00
_cell_angle_gamma 90.00
_space_group_name_H-M_alt 'P 4/m m m'
_space_group_IT_number 123
_space_group_name_Hall '-P 4 2'
loop_
_atom_site_label
_atom_site_type_symbol
_atom_site_fract_x
_atom_site_fract_y
_atom_site_fract_z
Be1 Be 0.0000 0.0000 0.0000
Pt1 Pt 0.5000 0.5000 0.5000
S1 S 0.0000 0.5000 0.5000
Cl1 Cl 0.5000 0.5000 0.0000
```

[12]
DFT (PBE-GGA) results for BePtSCl2 after structural relaxation.

Summary:
The spin magnetization comes out at 0.0 μB/f.u. As for the uncorrected formation energy: 0.554 eV/atom. The calculation puts the density of states at the Fermi level at 0.818 states/eV/atom.

```
data_BePtSCl2
_cell_length_a 4.8490
_cell_length_b 4.8490
_cell_length_c 4.7182
_cell_angle_alpha 90.00
_cell_angle_beta 90.00
_cell_angle_gamma 90.00
_space_group_name_H-M_alt 'P 4/m m m'
_space_group_IT_number 123
_space_group_name_Hall '-P 4 2'
loop_
_atom_site_label
_atom_site_type_symbol
_atom_site_fract_x
_atom_site_fract_y
_atom_site_fract_z
Be1 Be 0.0000 0.0000 0.0000
Pt1 Pt 0.5000 0.5000 0.5000
S1 S 0.5000 0.5000 0.0000
Cl1 Cl 0.0000 0.5000 0.5000
```

[13]
DFT (PBE-GGA) results for BePtS2Cl after structural relaxation.

Summary:
The spin magnetization comes out at 0.0 μB/f.u. As for the uncorrected formation energy: 0.479 eV/atom. The calculation puts the density of states at the Fermi level at 0.947 states/eV/atom.

```
data_BePtS2Cl
_cell_length_a 4.5194
_cell_length_b 4.5194
_cell_length_c 3.9790
_cell_angle_alpha 90.00
_cell_angle_beta 90.00
_cell_angle_gamma 90.00
_space_group_name_H-M_alt 'P 4/m m m'
_space_group_IT_number 123
_space_group_name_Hall '-P 4 2'
loop_
_atom_site_label
_atom_site_type_symbol
_atom_site_fract_x
_atom_site_fract_y
_atom_site_fract_z
Be1 Be 0.0000 0.0000 0.0000
Pt1 Pt 0.5000 0.5000 0.5000
S1 S 0.0000 0.5000 0.0000
Cl1 Cl 0.0000 0.0000 0.5000
```

[14]
DFT (PBE-GGA) results for BePtSCl2 after structural relaxation.

Summary:
The spin magnetization comes out at 0.6 μB/f.u. As for the uncorrected formation energy: 0.188 eV/atom. The calculation puts the density of states at the Fermi level at 0.626 states/eV/atom.

```
data_BePtSCl2
_cell_length_a 3.9286
_cell_length_b 3.9286
_cell_length_c 7.4192
_cell_angle_alpha 90.00
_cell_angle_beta 90.00
_cell_angle_gamma 90.00
_space_group_name_H-M_alt 'P 4/m m m'
_space_group_IT_number 123
_space_group_name_Hall '-P 4 2'
loop_
_atom_site_label
_atom_site_type_symbol
_atom_site_fract_x
_atom_site_fract_y
_atom_site_fract_z
Be1 Be 0.0000 0.0000 0.0000
Pt1 Pt 0.5000 0.5000 0.5000
S1 S 0.0000 0.0000 0.5000
Cl1 Cl 0.0000 0.5000 0.0000
```

[15]
DFT (PBE-GGA) results for BePt2WCl after structural relaxation.

Summary:
The spin magnetization comes out at 0.0 μB/f.u. As for the uncorrected formation energy: 1.158 eV/atom. The calculation puts the density of states at the Fermi level at 1.002 states/eV/atom.

```
data_BePt2WCl
_cell_length_a 4.9592
_cell_length_b 4.9592
_cell_length_c 4.4945
_cell_angle_alpha 90.00
_cell_angle_beta 90.00
_cell_angle_gamma 90.00
_space_group_name_H-M_alt 'P 4/m m m'
_space_group_IT_number 123
_space_group_name_Hall '-P 4 2'
loop_
_atom_site_label
_atom_site_type_symbol
_atom_site_fract_x
_atom_site_fract_y
_atom_site_fract_z
Be1 Be 0.0000 0.0000 0.0000
Pt1 Pt 0.0000 0.5000 0.5000
W1 W 0.5000 0.5000 0.5000
Cl1 Cl 0.5000 0.5000 0.0000
```